[1]
## MnSb (PBE)

Data for MnSb after structural relaxation.

Summary:
SG = Cm
Final energy = -6.508 eV per atom

```
MnSb
1.0
1.791 4.775 0.001
-1.791 4.775 0.001
0.000 3.336 6.618
Mn Sb
3 3
Direct
0.073 0.073 0.030
0.331 0.331 0.310
0.338 0.338 0.694
0.620 0.620 0.711
0.008 0.008 0.414
0.796 0.796 0.008
```

***

[2]
## BaMnHgBr4 (PBE)

Data for BaMnHgBr4 after structural relaxation.

Summary:
SG = P2_1/m
Final energy = -3.824 eV per atom

```
BaMnHgBr4
1.0
7.718 0.000 -0.536
0.000 7.641 0.000
-3.710 0.000 10.126
Ba Mn Hg Br
2 2 2 8
Direct
0.752 0.750 0.447
0.248 0.250 0.553
0.168 0.750 0.299
0.832 0.250 0.701
0.830 0.750 0.961
0.170 0.250 0.039
0.040 0.505 0.702
0.960 0.005 0.298
0.960 0.495 0.298
0.040 0.995 0.702
0.369 0.750 0.172
0.631 0.250 0.828
0.406 0.750 0.550
0.594 0.250 0.450
```

***

[3]
## Tl2IrI2Br4 (PBE)

Data for Tl2IrI2Br4 after structural relaxation.

Summary:
SG = C2/m
Final energy = -3.029 eV per atom

```
Tl2IrI2Br4
1.0
-5.940 -3.473 -0.244
4.329 -5.774 0.766
1.873 -1.991 6.723
Tl Ir I Br
2 1 2 4
Direct
0.289 0.634 0.634
0.711 0.366 0.366
0.500 0.000 0.000
0.196 0.108 0.108
0.804 0.892 0.892
0.333 0.637 0.117
0.667 0.883 0.363
0.667 0.363 0.883
0.333 0.117 0.637
```

***

[4]
## Li2DyCd7 (PBE)

Data for Li2DyCd7 after structural relaxation.

Summary:
ΔE_f = -143 meV per atom
SG = P3m1
Final energy = -1.627 eV per atom

```
Li2DyCd7
1.0
4.916 0.000 0.000
-2.458 4.257 0.000
0.000 0.000 10.777
Li Dy Cd
2 1 7
Direct
0.667 0.333 0.452
0.333 0.667 0.618
0.000 0.000 0.935
0.333 0.667 0.379
0.333 0.667 0.116
0.000 0.000 0.255
0.000 0.000 0.564
0.667 0.333 0.739
0.667 0.333 0.080
0.333 0.667 0.846
```

***

Let's list spin magnetization in order: 2.720; 4.996; 0.000; 0.000 μB/f.u..